(1)
## Sc2Br (SCAN)

Data for a PBEsol-optimized structure of Sc2Br.

Cell and atoms, written as extended XYZ:
```
3
Lattice="3.439 0.000 0.000 -1.719 2.978 0.000 0.000 0.000 6.509" Properties=species:S:1:pos:R:3 pbc="T T T"
Sc 0.000 1.985 2.093
Sc 1.719 0.993 4.416
Br 0.000 0.000 0.000
```

Results
- formation energy without anion corrections (eV/atom) = -0.771
- polymorph energy (0 for the lowest one) (meV/atom) = 0.0
- magnetic moment (μB/cell) = 0.003
- V (Å³/atom) = 22.22

***

(2)
## Cs2AlTe3O12 (SCAN)

Data for a PBEsol-optimized structure of Cs2AlTe3O12.

Cell and atoms, written as extended XYZ:
```
18
Lattice="3.618 2.089 5.683 -3.618 2.089 5.683 0.000 -4.178 5.683" Properties=species:S:1:pos:R:3 pbc="T T T"
Cs 0.000 0.000 2.219
Cs 0.000 0.000 14.830
Al 0.000 0.000 8.525
Te -1.809 -1.045 5.683
Te -1.809 1.045 11.366
Te 0.000 2.089 5.683
O 0.000 -1.650 5.209
O -1.429 0.825 5.209
O -1.382 -0.798 7.501
O -1.429 -0.825 11.841
O 0.000 -1.595 9.548
O -1.382 0.798 9.548
O 1.382 -0.798 7.501
O 0.000 1.595 7.501
O 1.429 0.825 5.209
O 1.382 0.798 9.548
O 1.429 -0.825 11.841
O 0.000 1.650 11.841
```

Results
- formation energy without anion corrections (eV/atom) = -1.564
- magnetic moment (μB/cell) = 1.050
- V (Å³/atom) = 14.32

***

(3)
## MgCuBr2Cl (SCAN)

Data for a PBEsol-optimized structure of MgCuBr2Cl.

Cell and atoms, written as extended XYZ:
```
5
Lattice="5.198 0.000 0.000 0.000 5.198 0.000 0.000 0.000 4.631" Properties=species:S:1:pos:R:3 pbc="T T T"
Mg 0.000 0.000 0.000
Cu 2.599 2.599 2.316
Br 0.000 2.599 0.000
Br 2.599 0.000 0.000
Cl 0.000 0.000 2.316
```

Results
- formation energy without anion corrections (eV/atom) = -0.680
- magnetic moment (μB/cell) = 0.126
- V (Å³/atom) = 25.02

***

(4)
## TaTlCr2 (SCAN)

Data for a PBEsol-optimized structure of TaTlCr2.

Cell and atoms, written as extended XYZ:
```
8
Lattice="3.147 0.000 0.000 0.000 4.382 0.000 0.000 0.000 8.808" Properties=species:S:1:pos:R:3 pbc="T T T"
Ta 0.000 0.000 0.000
Ta 1.573 2.191 4.404
Tl 0.000 2.191 1.955
Tl 1.573 0.000 6.359
Cr 0.000 0.000 4.038
Cr 0.000 2.191 6.654
Cr 1.573 0.000 2.250
Cr 1.573 2.191 8.442
```

Results
- polymorph energy (0 for the lowest one) (meV/atom) = 0.0
- magnetic moment (μB/cell) = 0.003
- V (Å³/atom) = 15.18